[1]
Here is crystalline CsNaPt2W at its relaxed geometry from the Alexandria database. Energies are from PBE-GGA.

```
5
Lattice="4.955 0.000 0.000 0.000 4.955 0.000 0.000 0.000 5.873" Properties=species:S:1:pos:R:3 pbc="T T T"
Cs 0.000 0.000 0.000
Na 2.478 2.478 0.000
Pt 0.000 2.478 2.936
Pt 2.478 0.000 2.936
W 0.000 0.000 2.936
```

Summary:
Energy of formation from the pure elements   0.864 eV/atom
Magnetization   0.00 μB per cell
SG   No. 123
Fermi-level density of states   3.0 states/eV per cell


[2]
Here is crystalline Cs2NaZnPt at its relaxed geometry from the Alexandria database. Energies are from PBE-GGA.

```
5
Lattice="6.894 0.000 0.000 0.000 6.894 0.000 0.000 0.000 4.918" Properties=species:S:1:pos:R:3 pbc="T T T"
Cs 0.000 3.447 0.000
Cs 3.447 0.000 0.000
Na 0.000 0.000 2.459
Zn 3.447 3.447 2.459
Pt 3.447 3.447 0.000
```

Summary:
Energy of formation from the pure elements   -0.012 eV/atom
Magnetization   0.00 μB per cell
SG   No. 123
Fermi-level density of states   2.0 states/eV per cell